(1)
DFT (GGA-PBE) results for an optimized crystal structure of CsHf2PRu.

Structure (CIF):
```
data_CsHf2PRu
_cell_length_a 5.2532
_cell_length_b 5.2532
_cell_length_c 4.9574
_cell_angle_alpha 90.00
_cell_angle_beta 90.00
_cell_angle_gamma 90.00
_space_group_name_H-M_alt 'P 4/m m m'
_space_group_IT_number 123
_space_group_name_Hall '-P 4 2'
loop_
_atom_site_label
_atom_site_fract_x
_atom_site_fract_y
_atom_site_fract_z
Cs1 0.0000 0.0000 0.0000
Hf1 0.0000 0.5000 0.0000
P1 0.0000 0.0000 0.5000
Ru1 0.5000 0.5000 0.5000
```

Properties
Size of the total moment = 1.751 μB/f.u.
Raw total energy = -4.24 eV/atom
Calculated formation energy = 2.85 eV/atom

=====

(2)
DFT (GGA-PBE) results for an optimized crystal structure of BeFeOs.

Structure (CIF):
```
data_BeFeOs
_cell_length_a 3.9187
_cell_length_b 4.6605
_cell_length_c 4.6908
_cell_angle_alpha 97.51
_cell_angle_beta 114.60
_cell_angle_gamma 114.86
_space_group_name_H-M_alt 'P -1'
_space_group_IT_number 2
loop_
_space_group_symop_operation_xyz
'x,y,z'
'-x,-y,-z'
loop_
_atom_site_label
_atom_site_fract_x
_atom_site_fract_y
_atom_site_fract_z
Be1 0.0791 0.4241 0.2315
Fe1 0.2479 0.2740 0.7238
Os1 0.4186 0.0911 0.2447
```

Properties
Size of the total moment = 0.899 μB/f.u.
Raw total energy = -7.85 eV/atom
Calculated formation energy = -0.04 eV/atom
E above lowest polymorph = 65 meV/atom

=====

(3)
DFT (GGA-PBE) results for an optimized crystal structure of SiHgRh2.

Structure (CIF):
```
data_SiHgRh2
_cell_length_a 2.9098
_cell_length_b 2.9127
_cell_length_c 7.1563
_cell_angle_alpha 90.00
_cell_angle_beta 90.21
_cell_angle_gamma 90.00
_space_group_name_H-M_alt 'P 1 2/m 1'
_space_group_IT_number 10
loop_
_space_group_symop_operation_xyz
'x,y,z'
'-x,-y,-z'
'-x,y,-z'
'x,-y,z'
loop_
_atom_site_label
_atom_site_fract_x
_atom_site_fract_y
_atom_site_fract_z
Si1 0.0000 0.0000 0.0000
Hg1 0.0000 0.0000 0.5000
Rh1 0.4984 0.5000 0.8038
```

Properties
Size of the total moment = 0.000 μB/f.u.
Raw total energy = -5.58 eV/atom
E above lowest polymorph = 0 meV/atom

=====

(4)
DFT (GGA-PBE) results for an optimized crystal structure of Ce5Y3As8.

Structure (CIF):
```
data_Ce5Y3As8
_cell_length_a 8.3696
_cell_length_b 8.3696
_cell_length_c 20.4737
_cell_angle_alpha 90.00
_cell_angle_beta 90.00
_cell_angle_gamma 120.00
_space_group_name_H-M_alt 'R -3 m'
_space_group_IT_number 166
_space_group_name_Hall '-R 3 2"'
loop_
_atom_site_label
_atom_site_fract_x
_atom_site_fract_y
_atom_site_fract_z
Ce1 0.0000 0.0000 0.0000
Ce2 0.0000 0.0000 0.5000
Ce3 0.0000 0.5000 0.0000
Y1 0.0000 0.5000 0.5000
As1 0.0000 0.0000 0.2490
As2 0.0019 0.5009 0.7509
```

Properties
Size of the total moment = 3.398 μB/f.u.
Raw total energy = -6.86 eV/atom
Calculated formation energy = -1.47 eV/atom